! La2NdAg2, optimized geometry, DFT PBE; values from VASP
! Uncorrected energy (eV per atom): -4.248
! Density of states at the Fermi level (states/eV per cell): 11.48
! Energy relative to the lowest polymorph listed for this composition (meV per atom): 0
! Volume (Å³ per atom): 29.22
! Space-group type: No. 63
! Total moment (μB/f.u.): 0.00
! Formation energy from the elements (eV per atom): -0.18
&SYSTEM
  ibrav = 0, nat = 10, ntyp = 3
/
ATOMIC_SPECIES
La 138.91 La.upf
Nd 144.24 Nd.upf
Ag 107.87 Ag.upf
ATOMIC_POSITIONS angstrom
La 0.187 -3.546 2.485
La -8.328 0.090 9.836
La -2.762 -2.699 6.724
La -5.379 -0.757 5.597
Nd -6.163 -2.862 8.554
Nd -1.979 -0.594 3.767
Ag -2.805 -3.832 3.712
Ag -5.336 0.376 8.609
Ag -6.155 -1.719 11.614
Ag -1.986 -1.736 0.707
CELL_PARAMETERS angstrom
-3.017 -1.423 -1.807
1.247 -5.018 1.870
-6.371 2.985 12.257